A plane-wave DFT calculation with PBE was carried out for a geometry-optimized Sc2OsAu3 structure.

Unit cell a=3.4513 b=3.4513 c=8.9186 alpha=90.00 beta=90.00 gamma=90.00
Space group P4mm (No. 99)
Inequivalent atoms, fractional coordinates:
Sc1 0.0000 0.0000 0.0000 x1
Sc2 0.5000 0.5000 0.4854 x1
Os1 0.0000 0.0000 0.3318 x1
Au1 0.0000 0.0000 0.6598 x1
Au2 0.5000 0.5000 0.1607 x1
Au3 0.5000 0.5000 0.8337 x1

Output
* calculated volume: 106.2 Å³/f.u.
* energy of formation: -0.411 eV per atom
* VASP energy: -6.024 eV/atom